K4IBr2: optimized geometry, PBE.

The polymorph energy (0 for the lowest one) is 0.0 meV per atom. As for the energy relative to the elements, uncorrected: -1393.2 meV/atom. The calculation puts the total DFT energy (no corrections) at -2.720 eV per atom.

The structure belongs to space group R-3m (No. 166, hexagonal axes); the cell edges are 4.8008, 4.8008 and 48.4144 Å and the angles 90.00°, 90.00° and 120.00°. The distinct sites, in fractional coordinates, are K at (0.0000, 0.0000, 0.1248), K at (0.0000, 0.0000, 0.2883), I at (0.0000, 0.0000, 0.0000) and Br at (0.0000, 0.0000, 0.4181).

KIBr2: optimized geometry, PBE.

As for the energy relative to the elements, uncorrected: -915.2 meV/atom. The calculation puts the total DFT energy (no corrections) at -2.414 eV per atom.

The structure belongs to space group P6_3/mmc (No. 194); the cell edges are 5.3577, 5.3577 and 16.3783 Å and the angles 90.00°, 90.00° and 120.00°. The distinct sites, in fractional coordinates, are K at (0.0000, 0.0000, 0.0000), I at (0.3333, 0.6667, 0.2500) and Br at (0.3333, 0.6667, 0.0829).

K4IBr3: optimized geometry, PBE.

As for the energy relative to the elements, uncorrected: -1676.5 meV/atom. The calculation puts the total DFT energy (no corrections) at -3.046 eV per atom.

The structure belongs to space group Cmmm (No. 65); the cell edges are 9.726, 13.639 and 4.768 Å and the angles 90.00°, 90.00° and 90.00°. The distinct sites, in fractional coordinates, are K at (0.000, 0.245, 0.000), K at (0.238, 0.000, 0.500), I at (0.000, 0.500, 0.000), Br at (0.000, 0.000, 0.000) and Br at (0.250, 0.250, 0.500).

KI2Br: optimized geometry, PBE.

As for the energy relative to the elements, uncorrected: -452.0 meV/atom. The calculation puts the total DFT energy (no corrections) at -1.920 eV per atom.

The structure belongs to space group I-42d (No. 122); the cell edges are 6.437, 6.437 and 19.905 Å and the angles 90.00°, 90.00° and 90.00°. The distinct sites, in fractional coordinates, are K at (0.000, 0.000, 0.000), I at (0.181, 0.250, 0.625) and Br at (0.000, 0.000, 0.500).